(1)
This record from the Alexandria database describes Ti2MnAsH after structural relaxation. The functional is PBE.

Computed properties:
E_tot in eV per cell: -35.23

a = 4.0203 Å, b = 4.0203 Å, c = 3.7034 Å
α = 90.00°, β = 90.00°, γ = 90.00°
Fractional positions:
1 Ti 0.0000 0.5000 0.0000
2 Ti 0.5000 0.0000 0.0000
3 Mn 0.0000 0.0000 0.5000
4 As 0.5000 0.5000 0.5000
5 H 0.0000 0.0000 0.0000

(2)
This record from the Alexandria database describes YMnAs2H after structural relaxation. The functional is PBE.

Computed properties:
E_tot in eV per cell: -28.55

a = 4.4215 Å, b = 4.4215 Å, c = 3.9088 Å
α = 90.00°, β = 90.00°, γ = 90.00°
Fractional positions:
1 Y 0.0000 0.0000 0.0000
2 Mn 0.5000 0.5000 0.0000
3 As 0.0000 0.5000 0.5000
4 As 0.5000 0.0000 0.5000
5 H 0.0000 0.0000 0.5000

(3)
This record from the Alexandria database describes Mo2AsH2 after structural relaxation. The functional is PBE.

Computed properties:
E_tot in eV per cell: -33.18

a = 5.7148 Å, b = 5.7148 Å, c = 5.7148 Å
α = 148.13°, β = 148.13°, γ = 45.70°
Fractional positions:
1 Mo 0.1472 0.1472 0.0000
2 Mo 0.8528 0.8528 0.0000
3 As 0.5000 0.5000 0.0000
4 H 0.2500 0.7500 0.5000
5 H 0.7500 0.2500 0.5000

(4)
This record from the Alexandria database describes MoAs3H after structural relaxation. The functional is PBE.

Computed properties:
Energy above the most stable polymorph in this dataset in eV/atom: 0.051

a = 4.8420 Å, b = 4.8420 Å, c = 4.8420 Å
α = 90.00°, β = 90.00°, γ = 90.00°
Fractional positions:
1 Mo 0.0000 0.0000 0.0000
2 As 0.0000 0.0000 0.5000
3 As 0.0000 0.5000 0.0000
4 As 0.5000 0.0000 0.0000
5 H 0.5000 0.5000 0.5000

(5)
This record from the Alexandria database describes MoAs2H after structural relaxation. The functional is PBE.

Computed properties:
Energy above the most stable polymorph in this dataset in eV/atom: 0.000

a = 5.2067 Å, b = 5.2067 Å, c = 5.2067 Å
α = 110.51°, β = 110.51°, γ = 107.41°
Fractional positions:
1 Mo 0.0000 0.0000 0.0000
2 Mo 0.7500 0.2500 0.5000
3 As 0.2093 0.6250 0.0843
4 As 0.3750 0.4593 0.5843
5 As 0.5407 0.1250 0.9157
6 As 0.8750 0.7907 0.4157
7 H 0.2500 0.7500 0.5000
8 H 0.5000 0.5000 0.0000

(6)
This record from the Alexandria database describes MoAs3H after structural relaxation. The functional is PBE.

Computed properties:
Energy above the most stable polymorph in this dataset in eV/atom: 0.000

a = 4.2305 Å, b = 4.2305 Å, c = 4.2305 Å
α = 90.00°, β = 90.00°, γ = 90.00°
Fractional positions:
1 Mo 0.0000 0.0000 0.0000
2 As 0.0000 0.5000 0.5000
3 As 0.5000 0.0000 0.5000
4 As 0.5000 0.5000 0.0000
5 H 0.5000 0.5000 0.5000